(1)
Here is an optimized crystal structure of InSi2O2 from Alexandria. Energies are from PBE-GGA.

extended XYZ file:
```
5
Lattice="-0.432 -1.233 3.908 4.067 -0.609 0.257 2.450 3.991 3.702" Properties=species:S:1:pos:R:3 pbc="T T T"
O 3.978 0.824 5.044
In 0.000 0.000 0.000
O 2.107 1.325 2.823
Si 4.167 1.231 3.021
Si 1.918 0.918 4.846
```

## Properties
SG = I4/mmm
uncorrected formation energy = -0.2560 eV/atom

=====

(2)
Here is an optimized crystal structure of SmInSi2O6 from Alexandria. Energies are from PBE-GGA.

extended XYZ file:
```
20
Lattice="7.056 -0.941 0.664 -1.798 6.887 0.664 -0.829 -0.937 7.104" Properties=species:S:1:pos:R:3 pbc="T T T"
O 1.307 3.997 1.269
O 3.851 -0.714 2.175
Si 3.888 2.237 6.205
O 6.024 1.743 2.706
O 3.602 3.886 2.730
In 5.693 -0.989 5.992
O 1.427 1.426 2.150
Si 2.270 0.408 5.780
O 0.826 1.122 5.702
O -1.595 3.266 5.727
Sm 0.626 3.492 5.992
O 1.037 3.691 3.611
O 3.002 3.582 6.282
In -1.264 5.997 2.440
Si 0.541 2.772 2.228
O 0.578 5.723 6.258
O 3.122 1.012 7.163
O 3.392 1.317 4.821
Si 2.159 4.601 2.653
Sm 3.803 1.517 2.440
```

## Properties
SG = C2/c
uncorrected formation energy = -2.5681 eV/atom

=====

(3)
Here is an optimized crystal structure of TaInSiO6 from Alexandria. Energies are from PBE-GGA.

extended XYZ file:
```
9
Lattice="-3.877 -0.075 3.187 -2.680 -4.203 0.594 2.826 -1.321 3.407" Properties=species:S:1:pos:R:3 pbc="T T T"
O -1.320 -2.463 4.653
O 0.258 -3.579 2.911
In -3.877 -0.075 3.187
O 0.613 -1.090 3.581
Si -0.773 -2.086 2.964
Ta -2.958 -3.512 4.225
O -1.703 -0.528 2.959
O -2.236 -3.021 2.435
O -0.248 -1.837 1.245
```

## Properties
SG = P312
uncorrected formation energy = -2.3597 eV/atom